Entry from Alexandria via LeMat-Bulk: a relaxed structure of NdRhAu (GGA-PBE).

```
data_NdRhAu
_chemical_formula_sum 'Nd2 Rh2 Au2'
_space_group_name_H-M_alt 'P 1'
_space_group_IT_number 1
_space_group_name_Hall 'P 1'
_cell_length_a 4.673
_cell_length_b 4.674
_cell_length_c 7.761
_cell_angle_alpha 107.56
_cell_angle_beta 90.00
_cell_angle_gamma 120.00
loop_
_atom_site_label
_atom_site_type_symbol
_atom_site_fract_x
_atom_site_fract_y
_atom_site_fract_z
_atom_site_occupancy
Rh1 Rh 0.869 0.737 0.606 1
Rh2 Rh 0.131 0.263 0.394 1
Au1 Au 0.500 0.000 0.500 1
Au2 Au 0.000 0.000 0.000 1
Nd1 Nd 0.258 0.516 0.774 1
Nd2 Nd 0.742 0.484 0.226 1
```

Summary:
Electronic total energy (eV per atom): -5.714
ΔE to the lowest computed polymorph (eV/f.u.): 0.000
Formation energy from the elements (eV per atom): -0.582